# AlTcW3

A relaxed structure of AlTcW3 (PBE, Alexandria).

As for the energy above the most stable polymorph in this dataset: 0 meV per atom. As for the formation energy from the elements: 1.861 eV per atom. The density of states at the Fermi level comes out at 6.708 states/eV/cell.

The space group is Pm-3m (No. 221) and the conventional cell measures 4.6990, 4.6990 and 4.6990 Å, with angles of 90.00, 90.00 and 90.00 degrees. Symmetry generates all atoms from Al at (0.0000, 0.0000, 0.0000), Tc at (0.5000, 0.5000, 0.5000) and W at (0.0000, 0.5000, 0.5000).

---

# Al2Tc2W

A relaxed structure of Al2Tc2W (PBE, Alexandria).

As for the energy above the most stable polymorph in this dataset: 0 meV per atom. As for the formation energy from the elements: -0.130 eV per atom. The density of states at the Fermi level comes out at 6.503 states/eV/cell.

The space group is Cmmm (No. 65) and the conventional cell measures 3.0850, 16.8142 and 3.0878 Å, with angles of 90.00, 90.00 and 90.00 degrees. Symmetry generates all atoms from Al at (0.0000, 0.1794, 0.0000), Tc at (0.0000, 0.4067, 0.5000) and W at (0.0000, 0.0000, 0.0000).

---

# AlTcW2

A relaxed structure of AlTcW2 (PBE, Alexandria).

As for the formation energy from the elements: -0.029 eV per atom. The density of states at the Fermi level comes out at 4.480 states/eV/cell.

The space group is P4mm (No. 99) and the conventional cell measures 3.1527, 3.1527 and 6.1718 Å, with angles of 90.00, 90.00 and 90.00 degrees. Symmetry generates all atoms from Al at (0.0000, 0.0000, 0.0000), Tc at (0.5000, 0.5000, 0.2423), W at (0.0000, 0.0000, 0.4871) and W at (0.5000, 0.5000, 0.7443).

---

# AlTc2W

A relaxed structure of AlTc2W (PBE, Alexandria).

As for the formation energy from the elements: 0.644 eV per atom. The density of states at the Fermi level comes out at 9.241 states/eV/cell.

The space group is Immm (No. 71) and the conventional cell measures 2.6626, 4.4984 and 11.6159 Å, with angles of 90.00, 90.00 and 90.00 degrees. Symmetry generates all atoms from Al at (0.0000, 0.0000, 0.0000), Tc at (0.0000, 0.0000, 0.2872) and W at (0.0000, 0.0000, 0.5000).

---

# AlTcW2

A relaxed structure of AlTcW2 (PBE, Alexandria).

As for the formation energy from the elements: -0.153 eV per atom. The density of states at the Fermi level comes out at 5.868 states/eV/cell.

The space group is Immm (No. 71) and the conventional cell measures 3.1396, 4.3400 and 8.9528 Å, with angles of 90.00, 90.00 and 90.00 degrees. Symmetry generates all atoms from Al at (0.0000, 0.0000, 0.0000), Tc at (0.0000, 0.0000, 0.5000) and W at (0.0000, 0.5000, 0.2415).

---

# AlTc3W2

A relaxed structure of AlTc3W2 (PBE, Alexandria).

As for the formation energy from the elements: -0.222 eV per atom. The density of states at the Fermi level comes out at 2.429 states/eV/cell.

The space group is P4/mmm (No. 123) and the conventional cell measures 3.1248, 3.1248 and 9.2489 Å, with angles of 90.00, 90.00 and 90.00 degrees. Symmetry generates all atoms from Al at (0.0000, 0.0000, 0.0000), Tc at (0.5000, 0.5000, 0.1689), Tc at (0.5000, 0.5000, 0.5000) and W at (0.0000, 0.0000, 0.3250).